# YTiCuH2

A relaxed YTiCuH2 crystal (PBEsol, Alexandria via LeMat-Bulk).

abc: 3.792 3.792 4.834
angles: 90.00 90.00 90.00
Space group P4/mmm (No. 123)
One atom of each set of equivalent atoms:
Y1 0.000 0.000 0.000
Ti1 0.500 0.500 0.500
Cu1 0.500 0.500 0.000
H1 0.000 0.500 0.500

=====

# TlCu2H2

A relaxed TlCu2H2 crystal (PBEsol, Alexandria via LeMat-Bulk).

abc: 3.442 3.442 11.058
angles: 90.00 90.00 90.00
Space group I4/mmm (No. 139)
One atom of each set of equivalent atoms:
Tl1 0.000 0.000 0.000
Cu1 0.000 0.000 0.266
H1 0.000 0.500 0.250

=====

# CuH2W

A relaxed CuH2W crystal (PBEsol, Alexandria via LeMat-Bulk).

abc: 5.060 5.060 5.060
angles: 90.00 90.00 90.00
Space group Fm-3m (No. 225)
One atom of each set of equivalent atoms:
Cu1 0.000 0.000 0.000
H1 0.250 0.250 0.250
W1 0.000 0.000 0.500

=====

# Y2CuH2

A relaxed Y2CuH2 crystal (PBEsol, Alexandria via LeMat-Bulk).

abc: 3.511 3.511 12.116
angles: 90.00 90.00 90.00
Space group I4/mmm (No. 139)
One atom of each set of equivalent atoms:
Y1 0.000 0.000 0.141
Cu1 0.000 0.000 0.500
H1 0.000 0.500 0.250

=====

# Zr2CuH5

A relaxed Zr2CuH5 crystal (PBEsol, Alexandria via LeMat-Bulk).

abc: 10.712 3.635 8.148
angles: 90.00 123.42 90.00
Space group C2/m (No. 12)
One atom of each set of equivalent atoms:
Zr1 0.081 0.000 0.345
Zr2 0.174 0.500 0.075
Cu1 0.123 0.500 0.652
H1 0.036 0.500 0.175
H2 0.118 0.000 0.640
H3 0.135 0.000 0.924
H4 0.183 0.000 0.201
H5 0.184 0.500 0.480

=====

# Hf7Cu10

A relaxed Hf7Cu10 crystal (PBEsol, Alexandria via LeMat-Bulk).

abc: 12.414 9.126 9.156
angles: 90.00 90.00 90.00
Space group Cmce (No. 64)
One atom of each set of equivalent atoms:
Hf1 0.000 0.000 0.000
Hf2 0.000 0.189 0.308
Hf3 0.189 0.000 0.500
Hf4 0.250 0.236 0.250
Cu1 0.000 0.106 0.602
Cu2 0.146 0.017 0.795
Cu3 0.146 0.204 0.008

Summary:
Energy relative to the elements, eV per atom: -0.20

=====

# HfCu3

A relaxed HfCu3 crystal (PBEsol, Alexandria via LeMat-Bulk).

abc: 4.004 4.004 6.814
angles: 90.00 90.00 90.00
Space group I4/mmm (No. 139)
One atom of each set of equivalent atoms:
Hf1 0.000 0.000 0.000
Cu1 0.000 0.000 0.500
Cu2 0.000 0.500 0.250

Summary:
Energy relative to the elements, eV per atom: -0.10

=====

# Hf2Cu

A relaxed Hf2Cu crystal (PBEsol, Alexandria via LeMat-Bulk).

abc: 3.134 3.134 10.979
angles: 90.00 90.00 90.00
Space group I4/mmm (No. 139)
One atom of each set of equivalent atoms:
Hf1 0.000 0.000 0.156
Cu1 0.000 0.000 0.500

Summary:
Energy relative to the elements, eV per atom: -0.16

=====

# Hf3CuHg

A relaxed Hf3CuHg crystal (PBEsol, Alexandria via LeMat-Bulk).

abc: 5.106 5.106 5.106
angles: 90.00 90.00 90.00
Space group Pm-3m (No. 221)
One atom of each set of equivalent atoms:
Hf1 0.000 0.000 0.500
Cu1 0.500 0.500 0.500
Hg1 0.000 0.000 0.000

Summary:
Energy relative to the elements, eV per atom: 1.46

=====

# Hf2CuHgIr

A relaxed Hf2CuHgIr crystal (PBEsol, Alexandria via LeMat-Bulk).

abc: 4.893 4.893 5.083
angles: 90.00 90.00 90.00
Space group P4/mmm (No. 123)
One atom of each set of equivalent atoms:
Hf1 0.000 0.500 0.000
Cu1 0.000 0.000 0.500
Hg1 0.500 0.500 0.500
Ir1 0.500 0.500 0.000

Summary:
Energy relative to the elements, eV per atom: 0.62

=====

# HfMg2CuHg

A relaxed HfMg2CuHg crystal (PBEsol, Alexandria via LeMat-Bulk).

abc: 4.631 4.631 4.778
angles: 90.00 90.00 90.00
Space group P4/mmm (No. 123)
One atom of each set of equivalent atoms:
Hf1 0.000 0.000 0.000
Mg1 0.000 0.500 0.500
Cu1 0.500 0.500 0.500
Hg1 0.500 0.500 0.000

Summary:
Energy relative to the elements, eV per atom: 0.43

=====

# HfCuI2

A relaxed HfCuI2 crystal (PBEsol, Alexandria via LeMat-Bulk).

abc: 7.015 7.015 7.015
angles: 90.00 90.00 90.00
Space group Fm-3m (No. 225)
One atom of each set of equivalent atoms:
Hf1 0.000 0.000 0.000
Cu1 0.000 0.000 0.500
I1 0.250 0.250 0.250

=====

# HfCuIr3

A relaxed HfCuIr3 crystal (PBEsol, Alexandria via LeMat-Bulk).

abc: 4.392 4.392 4.392
angles: 90.00 90.00 90.00
Space group Pm-3m (No. 221)
One atom of each set of equivalent atoms:
Hf1 0.000 0.000 0.000
Cu1 0.500 0.500 0.500
Ir1 0.000 0.500 0.500

Summary:
Energy relative to the elements, eV per atom: 0.84

=====

# K2HfCu

A relaxed K2HfCu crystal (PBEsol, Alexandria via LeMat-Bulk).

abc: 7.997 7.997 7.997
angles: 90.00 90.00 90.00
Space group Fm-3m (No. 225)
One atom of each set of equivalent atoms:
K1 0.250 0.250 0.250
Hf1 0.000 0.000 0.000
Cu1 0.000 0.000 0.500

Summary:
Energy relative to the elements, eV per atom: 1.53

=====

Number 1: E -25.9 eV for the cell shown. Number 2: E -33.3 eV for the cell shown. Number 3: E -87.3 eV for the cell shown. Number 4: E -54.2 eV for the cell shown. Number 5: E -170.7 eV for the cell shown. Number 6: E -480.8 eV for the cell shown. Number 7: E -47.8 eV for the cell shown. Number 8: E -51.7 eV for the cell shown. Number 9: E -29.1 eV for the cell shown. Number 10: E -32.6 eV for the cell shown. Number 11: E -16.7 eV for the cell shown. Number 12: E -69.4 eV for the cell shown. Number 13: E -40.1 eV for the cell shown. Number 14: E -43.9 eV for the cell shown.